[1]
This record from the Alexandria database describes a geometry-optimized PrIn5Pt3 structure. The functional is PBE.

Results
V: 23.0 A^3/atom

Cell and atoms, written as CIF:
```
data_PrIn5Pt3
_symmetry_space_group_name_H-M 'C m c m'
_symmetry_Int_Tables_number 63
_symmetry_space_group_name_Hall '-C 2c 2'
_cell_length_a 4.0654
_cell_length_b 14.5975
_cell_length_c 13.9260
_cell_angle_alpha 90.00
_cell_angle_beta 90.00
_cell_angle_gamma 90.00
loop_
_atom_site_label
_atom_site_type_symbol
_atom_site_fract_x
_atom_site_fract_y
_atom_site_fract_z
_atom_site_occupancy
Pr1 Pr 0.0000 0.1674 0.2500 1
In1 In 0.0000 0.0000 0.0000 1
In2 In 0.0000 0.1999 0.5612 1
In3 In 0.0000 0.4443 0.1496 1
Pt1 Pt 0.0000 0.1529 0.7500 1
Pt2 Pt 0.0000 0.3842 0.5675 1
```


[2]
This record from the Alexandria database describes a geometry-optimized Pr3In2Pt7 structure. The functional is PBE.

Results
V: 21.8 A^3/atom

Cell and atoms, written as CIF:
```
data_Pr3In2Pt7
_symmetry_space_group_name_H-M 'I 4/m m m'
_symmetry_Int_Tables_number 139
_symmetry_space_group_name_Hall '-I 4 2'
_cell_length_a 4.1523
_cell_length_b 4.1523
_cell_length_c 30.3169
_cell_angle_alpha 90.00
_cell_angle_beta 90.00
_cell_angle_gamma 90.00
loop_
_atom_site_label
_atom_site_type_symbol
_atom_site_fract_x
_atom_site_fract_y
_atom_site_fract_z
_atom_site_occupancy
Pr1 Pr 0.0000 0.0000 0.0000 1
Pr2 Pr 0.0000 0.0000 0.1843 1
In1 In 0.0000 0.0000 0.3723 1
Pt1 Pt 0.0000 0.0000 0.2828 1
Pt2 Pt 0.0000 0.0000 0.5000 1
Pt3 Pt 0.0000 0.5000 0.0721 1
```


[3]
This record from the Alexandria database describes a geometry-optimized Pr3In7Pt4 structure. The functional is PBE.

Results
V: 23.2 A^3/atom

Cell and atoms, written as CIF:
```
data_Pr3In7Pt4
_symmetry_space_group_name_H-M 'C 1 2/m 1'
_symmetry_Int_Tables_number 12
_symmetry_space_group_name_Hall '-C 2y'
_cell_length_a 16.9707
_cell_length_b 4.5043
_cell_length_c 10.3212
_cell_angle_alpha 90.00
_cell_angle_beta 124.54
_cell_angle_gamma 90.00
loop_
_atom_site_label
_atom_site_type_symbol
_atom_site_fract_x
_atom_site_fract_y
_atom_site_fract_z
_atom_site_occupancy
Pr1 Pr 0.0000 0.0000 0.0000 1
Pr2 Pr 0.1918 0.5000 0.7007 1
In1 In 0.0000 0.0000 0.5000 1
In2 In 0.0064 0.5000 0.2882 1
In3 In 0.1627 0.0000 0.4295 1
In4 In 0.1828 0.5000 0.0287 1
Pt1 Pt 0.1181 0.0000 0.8401 1
Pt2 Pt 0.1607 0.5000 0.2688 1
```


[4]
This record from the Alexandria database describes a geometry-optimized Pr11In9Pt4 structure. The functional is PBE.

Results
V: 27.6 A^3/atom

Cell and atoms, written as CIF:
```
data_Pr11In9Pt4
_symmetry_space_group_name_H-M 'C m m m'
_symmetry_Int_Tables_number 65
_symmetry_space_group_name_Hall '-C 2 2'
_cell_length_a 15.0944
_cell_length_b 22.6653
_cell_length_c 3.8702
_cell_angle_alpha 90.00
_cell_angle_beta 90.00
_cell_angle_gamma 90.00
loop_
_atom_site_label
_atom_site_type_symbol
_atom_site_fract_x
_atom_site_fract_y
_atom_site_fract_z
_atom_site_occupancy
Pr1 Pr 0.0000 0.0000 0.0000 1
Pr2 Pr 0.0000 0.1623 0.0000 1
Pr3 Pr 0.0000 0.3734 0.0000 1
Pr4 Pr 0.1900 0.5000 0.0000 1
Pr5 Pr 0.2437 0.1707 0.0000 1
In1 In 0.0000 0.5000 0.5000 1
In2 In 0.1028 0.2639 0.5000 1
In3 In 0.1460 0.0705 0.5000 1
Pt1 Pt 0.1532 0.3988 0.5000 1
```


[5]
This record from the Alexandria database describes a geometry-optimized PrIn6Pt4 structure. The functional is PBE.

Results
V: 22.9 A^3/atom

Cell and atoms, written as CIF:
```
data_PrIn6Pt4
_symmetry_space_group_name_H-M 'I -4 2 m'
_symmetry_Int_Tables_number 121
_symmetry_space_group_name_Hall 'I -4 2'
_cell_length_a 7.0772
_cell_length_b 7.0772
_cell_length_c 10.0378
_cell_angle_alpha 90.00
_cell_angle_beta 90.00
_cell_angle_gamma 90.00
loop_
_atom_site_label
_atom_site_type_symbol
_atom_site_fract_x
_atom_site_fract_y
_atom_site_fract_z
_atom_site_occupancy
Pr1 Pr 0.0000 0.0000 0.0000 1
In1 In 0.0000 0.5000 0.0000 1
In2 In 0.1700 0.1700 0.7057 1
Pt1 Pt 0.1821 0.1821 0.4260 1
```


[6]
This record from the Alexandria database describes a geometry-optimized PrIn4Pt4 structure. The functional is PBE.

Results
V: 22.6 A^3/atom

Cell and atoms, written as CIF:
```
data_PrIn4Pt4
_symmetry_space_group_name_H-M 'P 42/n m c'
_symmetry_Int_Tables_number 137
_cell_length_a 7.0280
_cell_length_b 7.0280
_cell_length_c 8.2439
_cell_angle_alpha 90.00
_cell_angle_beta 90.00
_cell_angle_gamma 90.00
loop_
_symmetry_equiv_pos_as_xyz
'x,y,z'
'-x,-y,-z'
'-y+1/2,x,z+1/2'
'y+1/2,-x,-z+1/2'
'-x+1/2,-y+1/2,z'
'x+1/2,y+1/2,-z'
'y,-x+1/2,z+1/2'
'-y,x+1/2,-z+1/2'
'x+1/2,-y,-z'
'-x+1/2,y,z'
'-y,-x,-z+1/2'
'y,x,z+1/2'
'-x,y+1/2,-z'
'x,-y+1/2,z'
'y+1/2,x+1/2,-z+1/2'
'-y+1/2,-x+1/2,z+1/2'
loop_
_atom_site_label
_atom_site_type_symbol
_atom_site_fract_x
_atom_site_fract_y
_atom_site_fract_z
_atom_site_occupancy
Pr1 Pr 0.2500 0.7500 0.2500 1
In1 In 0.0045 0.7500 0.6269 1
Pt1 Pt 0.0402 0.2500 0.0426 1
```


[7]
This record from the Alexandria database describes a geometry-optimized Pr4In3Pt structure. The functional is PBE.

Results
V: 28.3 A^3/atom

Cell and atoms, written as CIF:
```
data_Pr4In3Pt
_symmetry_space_group_name_H-M 'P 4/m m m'
_symmetry_Int_Tables_number 123
_symmetry_space_group_name_Hall '-P 4 2'
_cell_length_a 3.6968
_cell_length_b 3.6968
_cell_length_c 16.5477
_cell_angle_alpha 90.00
_cell_angle_beta 90.00
_cell_angle_gamma 90.00
loop_
_atom_site_label
_atom_site_type_symbol
_atom_site_fract_x
_atom_site_fract_y
_atom_site_fract_z
_atom_site_occupancy
Pr1 Pr 0.0000 0.0000 0.1057 1
Pr2 Pr 0.0000 0.0000 0.3686 1
In1 In 0.5000 0.5000 0.2396 1
In2 In 0.5000 0.5000 0.5000 1
Pt1 Pt 0.5000 0.5000 0.0000 1
```


[8]
This record from the Alexandria database describes a geometry-optimized PrIn3Pt3 structure. The functional is PBE.

Results
V: 22.9 A^3/atom
offset from the most stable computed form: 0 meV/atom

Cell and atoms, written as CIF:
```
data_PrIn3Pt3
_symmetry_space_group_name_H-M 'P 63/m'
_symmetry_Int_Tables_number 176
_symmetry_space_group_name_Hall '-P 6c'
_cell_length_a 9.1208
_cell_length_b 9.1208
_cell_length_c 4.4587
_cell_angle_alpha 90.00
_cell_angle_beta 90.00
_cell_angle_gamma 120.00
loop_
_atom_site_label
_atom_site_type_symbol
_atom_site_fract_x
_atom_site_fract_y
_atom_site_fract_z
_atom_site_occupancy
Pr1 Pr 0.3333 0.6667 0.2500 1
In1 In 0.0461 0.2891 0.7500 1
Pt1 Pt 0.0549 0.6115 0.7500 1
```


The evaluated formation enthalpy at 0 K for the records listed, in turn: -456, -708, -720, -738, -600, -523, -616, -625 meV/atom.